(1)
Below is an optimized crystal structure of MgGaICl2, with properties calculated at the PBE-GGA level.

Lattice parameters (Å, degrees): 6.883 4.952 6.883 90.00 90.00 90.00
Positions (direct):
I1 0.000 0.000 0.000
Mg1 0.000 0.500 0.000
Ga1 0.500 0.500 0.500
Cl1 0.000 0.000 0.500
Cl2 0.500 0.000 0.000

Output
Energy relative to the elements, uncorrected in eV per atom: -0.003


(2)
Below is an optimized crystal structure of Be2ZnMoPt, with properties calculated at the PBE-GGA level.

Lattice parameters (Å, degrees): 4.184 4.677 4.184 90.00 90.00 90.00
Last column: magnetic moment on the atom in μB.
Positions (direct):
Be1 0.000 0.000 0.500  -0.07
Be2 0.500 0.000 0.000  -0.04
Mo1 0.500 0.500 0.500  2.35
Zn1 0.000 0.500 0.000  -0.03
Pt1 0.000 0.000 0.000  0.05

Output
DFT formation energy in eV/atom: 0.645


(3)
Below is an optimized crystal structure of Ce2MnGe5, with properties calculated at the PBE-GGA level.

Lattice parameters (Å, degrees): 6.182 6.182 6.182 89.29 120.41 120.41
Last column: magnetic moment on the atom in μB.
Positions (direct):
Ce1 0.500 0.240 0.740  0.40
Ce2 0.500 0.740 0.240  0.40
Mn1 0.000 0.989 0.989  2.81
Ge1 0.435 0.713 0.713  -0.02
Ge2 0.000 0.713 0.279  -0.02
Ge3 0.000 0.279 0.713  -0.02
Ge4 0.565 0.279 0.279  -0.02
Ge5 0.000 0.269 0.269  -0.03

Output
DFT formation energy in eV/atom: -0.412


(4)
Below is an optimized crystal structure of Cu2MoW, with properties calculated at the PBE-GGA level.

Lattice parameters (Å, degrees): 4.106 2.610 5.781 65.10 90.00 90.00
Positions (direct):
Cu1 0.000 0.001 0.999
Cu2 0.000 0.499 0.501
Mo1 0.500 0.250 0.250
W1 0.500 0.750 0.750

Output
DFT formation energy in eV/atom: 0.293